(1)
First-principles (PBE-GGA) data for a relaxed LiMgTlGa crystal, as listed in Alexandria.

Lattice parameters (Å, degrees): 4.523 4.523 8.030 90.00 90.00 90.00
Space group I-4m2 (No. 119)
Unique sites:
Li  0.000  0.000  0.000 [2 per cell]
Mg  0.000  0.000  0.500 [2 per cell]
Tl  0.000  0.500  0.750 [2 per cell]
Ga  0.000  0.500  0.250 [2 per cell]

Results
The value obtained for the density is 6.17 g cm⁻³. For the formation energy, the calculation gives -0.14 eV/atom. The value obtained for the energy above the most stable polymorph in this dataset is 0.0 meV per atom. The calculation puts the raw total energy at -2.3617 eV per atom. Its calculated volume is 20.54 A^3/atom. The density of states at the Fermi level comes out at 2.30 states/eV/cell.

(2)
First-principles (PBE-GGA) data for a relaxed Li5Mg2TlGa2 crystal, as listed in Alexandria.

Lattice parameters (Å, degrees): 10.010 10.010 3.816 90.00 90.00 90.00
Space group P4/mbm (No. 127)
Unique sites:
Li  0.000  0.500  0.000 [2 per cell]
Li  0.071  0.203  0.000 [8 per cell]
Mg  0.170  0.670  0.500 [4 per cell]
Tl  0.000  0.000  0.500 [2 per cell]
Ga  0.126  0.374  0.500 [4 per cell]

Results
The value obtained for the density is 3.71 g cm⁻³. For the formation energy, the calculation gives -0.15 eV/atom. The calculation puts the raw total energy at -2.2720 eV per atom. Its calculated volume is 19.12 A^3/atom. The density of states at the Fermi level comes out at 7.18 states/eV/cell.

(3)
First-principles (PBE-GGA) data for a relaxed LiMgTlGa crystal, as listed in Alexandria.

Lattice parameters (Å, degrees): 6.943 6.943 6.943 90.00 90.00 90.00
Space group F-43m (No. 216)
Unique sites:
Li  0.000  0.000  0.000 [4 per cell]
Mg  0.000  0.000  0.500 [4 per cell]
Tl  0.250  0.250  0.750 [4 per cell]
Ga  0.250  0.250  0.250 [4 per cell]

Results
The value obtained for the density is 6.06 g cm⁻³. For the formation energy, the calculation gives -0.13 eV/atom. The value obtained for the energy above the most stable polymorph in this dataset is 2.6 meV per atom. The calculation puts the raw total energy at -2.3591 eV per atom. Its calculated volume is 20.91 A^3/atom. The density of states at the Fermi level comes out at 11.10 states/eV/cell.

(4)
First-principles (PBE-GGA) data for a relaxed LiTmMgGa crystal, as listed in Alexandria.

Lattice parameters (Å, degrees): 6.836 6.836 6.836 90.00 90.00 90.00
Space group F-43m (No. 216)
Unique sites:
Li  0.000  0.000  0.000 [4 per cell]
Tm  0.250  0.250  0.750 [4 per cell]
Mg  0.250  0.250  0.250 [4 per cell]
Ga  0.000  0.000  0.500 [4 per cell]

Results
The value obtained for the density is 5.61 g cm⁻³. For the formation energy, the calculation gives -0.29 eV/atom. The calculation puts the raw total energy at -3.0439 eV per atom. Its calculated volume is 19.97 A^3/atom. The density of states at the Fermi level comes out at 10.07 states/eV/cell.

(5)
First-principles (PBE-GGA) data for a relaxed Li2MgVGa crystal, as listed in Alexandria.

Lattice parameters (Å, degrees): 4.618 4.618 4.947 90.00 90.00 90.00
Space group P4/mmm (No. 123)
Unique sites:
Li  0.000  0.500  0.000 [2 per cell]
Mg  0.000  0.000  0.500 [1 per cell]
V  0.500  0.500  0.500 [1 per cell]
Ga  0.000  0.000  0.000 [1 per cell]

Results
The value obtained for the density is 2.50 g cm⁻³. For the formation energy, the calculation gives 0.85 eV/atom. The value obtained for the energy above the most stable polymorph in this dataset is 344.0 meV per atom. The calculation puts the raw total energy at -2.6635 eV per atom. Its calculated volume is 21.10 A^3/atom. The density of states at the Fermi level comes out at 8.67 states/eV/cell.

(6)
First-principles (PBE-GGA) data for a relaxed Li2MgVGa crystal, as listed in Alexandria.

Lattice parameters (Å, degrees): 4.594 4.594 4.800 90.00 90.00 90.00
Space group P4/mmm (No. 123)
Unique sites:
Li  0.000  0.500  0.000 [2 per cell]
Mg  0.000  0.000  0.500 [1 per cell]
V  0.500  0.500  0.500 [1 per cell]
Ga  0.500  0.500  0.000 [1 per cell]

Results
The value obtained for the density is 2.60 g cm⁻³. For the formation energy, the calculation gives 0.51 eV/atom. The value obtained for the energy above the most stable polymorph in this dataset is 0.0 meV per atom. The calculation puts the raw total energy at -3.0076 eV per atom. Its calculated volume is 20.26 A^3/atom. The density of states at the Fermi level comes out at 6.19 states/eV/cell.

(7)
First-principles (PBE-GGA) data for a relaxed LiYMgGa2 crystal, as listed in Alexandria.

Lattice parameters (Å, degrees): 5.621 6.211 5.879 90.00 90.00 90.00
Space group Pmma (No. 51)
Unique sites:
Li  0.000  0.000  0.000 [2 per cell]
Y  0.250  0.500  0.243 [2 per cell]
Mg  0.250  0.000  0.410 [2 per cell]
Ga  0.250  0.291  0.761 [4 per cell]

Results
The value obtained for the density is 4.20 g cm⁻³. For the formation energy, the calculation gives -0.28 eV/atom. The calculation puts the raw total energy at -3.4879 eV per atom. Its calculated volume is 20.52 A^3/atom. The density of states at the Fermi level comes out at 6.41 states/eV/cell.

(8)
First-principles (PBE-GGA) data for a relaxed LiYMgGa crystal, as listed in Alexandria.

Lattice parameters (Å, degrees): 6.897 6.897 6.897 90.00 90.00 90.00
Space group F-43m (No. 216)
Unique sites:
Li  0.000  0.000  0.000 [4 per cell]
Y  0.250  0.250  0.750 [4 per cell]
Mg  0.250  0.250  0.250 [4 per cell]
Ga  0.000  0.000  0.500 [4 per cell]

Results
The value obtained for the density is 3.84 g cm⁻³. For the formation energy, the calculation gives -0.33 eV/atom. The calculation puts the raw total energy at -3.5807 eV per atom. Its calculated volume is 20.51 A^3/atom. The density of states at the Fermi level comes out at 9.20 states/eV/cell.

(9)
First-principles (PBE-GGA) data for a relaxed LiMg2ZnGa crystal, as listed in Alexandria.

Lattice parameters (Å, degrees): 5.080 5.080 4.902 90.00 90.00 90.00
Space group P4/mmm (No. 123)
Unique sites:
Li  0.000  0.000  0.000 [1 per cell]
Mg  0.000  0.500  0.500 [2 per cell]
Zn  0.500  0.500  0.000 [1 per cell]
Ga  0.500  0.500  0.500 [1 per cell]

Results
The value obtained for the density is 2.50 g cm⁻³. For the formation energy, the calculation gives 0.20 eV/atom. The calculation puts the raw total energy at -1.6777 eV per atom. Its calculated volume is 25.30 A^3/atom. The density of states at the Fermi level comes out at 2.09 states/eV/cell.

(10)
First-principles (PBE-GGA) data for a relaxed Li5Mg2Zn2Ga crystal, as listed in Alexandria.

Lattice parameters (Å, degrees): 10.294 10.294 3.351 90.00 90.00 90.00
Space group P4/mbm (No. 127)
Unique sites:
Li  0.000  0.500  0.000 [2 per cell]
Li  0.063  0.193  0.000 [8 per cell]
Mg  0.171  0.671  0.500 [4 per cell]
Zn  0.128  0.372  0.500 [4 per cell]
Ga  0.000  0.000  0.500 [2 per cell]

Results
The value obtained for the density is 2.65 g cm⁻³. For the formation energy, the calculation gives -0.09 eV/atom. The calculation puts the raw total energy at -1.9259 eV per atom. Its calculated volume is 17.76 A^3/atom. The density of states at the Fermi level comes out at 6.60 states/eV/cell.

(11)
First-principles (PBE-GGA) data for a relaxed LiMnGa4 crystal, as listed in Alexandria.

Lattice parameters (Å, degrees): 7.391 11.253 5.119 90.00 115.40 90.00
Space group C2/c (No. 15)
Unique sites:
Li  0.000  0.095  0.250 [4 per cell]
Mn  0.000  0.496  0.750 [4 per cell]
Ga  0.115  0.314  0.557 [8 per cell]
Ga  0.207  0.110  0.846 [8 per cell]

Results
The value obtained for the density is 5.89 g cm⁻³. For the formation energy, the calculation gives -0.11 eV/atom. The calculation puts the raw total energy at -3.9731 eV per atom. Its calculated volume is 16.02 A^3/atom. The density of states at the Fermi level comes out at 8.43 states/eV/cell.

(12)
First-principles (PBE-GGA) data for a relaxed LiMnGa crystal, as listed in Alexandria.

Lattice parameters (Å, degrees): 4.062 3.694 6.010 90.00 109.64 90.00
Space group P2/m (No. 10)
Unique sites:
Li  0.172  0.000  0.345 [2 per cell]
Mn  0.000  0.500  0.000 [1 per cell]
Mn  0.500  0.000  0.000 [1 per cell]
Ga  0.346  0.500  0.688 [2 per cell]

Results
The value obtained for the density is 5.15 g cm⁻³. For the formation energy, the calculation gives -0.05 eV/atom. The value obtained for the energy above the most stable polymorph in this dataset is 85.6 meV per atom. The calculation puts the raw total energy at -4.7562 eV per atom. Its calculated volume is 14.16 A^3/atom. The density of states at the Fermi level comes out at 3.50 states/eV/cell.

(13)
First-principles (PBE-GGA) data for a relaxed LiMnGa crystal, as listed in Alexandria.

Lattice parameters (Å, degrees): 2.742 2.742 23.296 90.00 90.00 90.00
Space group I4/mmm (No. 139)
Unique sites:
Li  0.000  0.000  0.064 [4 per cell]
Mn  0.000  0.000  0.223 [4 per cell]
Ga  0.000  0.000  0.353 [4 per cell]

Results
The value obtained for the density is 4.99 g cm⁻³. For the formation energy, the calculation gives -0.14 eV/atom. The value obtained for the energy above the most stable polymorph in this dataset is 0.0 meV per atom. The calculation puts the raw total energy at -4.8419 eV per atom. Its calculated volume is 14.60 A^3/atom. The density of states at the Fermi level comes out at 6.60 states/eV/cell.

(14)
First-principles (PBE-GGA) data for a relaxed LiMn2Ga4 crystal, as listed in Alexandria.

Lattice parameters (Å, degrees): 6.145 6.145 5.448 90.00 90.00 90.00
Space group I4/mmm (No. 139)
Unique sites:
Li  0.000  0.000  0.000 [2 per cell]
Mn  0.000  0.500  0.000 [4 per cell]
Ga  0.250  0.250  0.250 [8 per cell]

Results
The value obtained for the density is 6.39 g cm⁻³. For the formation energy, the calculation gives -0.15 eV/atom. The calculation puts the raw total energy at -4.7712 eV per atom. Its calculated volume is 14.70 A^3/atom. The density of states at the Fermi level comes out at 5.82 states/eV/cell.

(15)
First-principles (PBE-GGA) data for a relaxed LiMn2Ga crystal, as listed in Alexandria.

Lattice parameters (Å, degrees): 6.854 6.854 5.195 90.00 90.00 90.00
Space group I-42d (No. 122)
Unique sites:
Li  0.000  0.000  0.000 [4 per cell]
Mn  0.249  0.250  0.625 [8 per cell]
Ga  0.000  0.000  0.500 [4 per cell]

Results
The value obtained for the density is 5.08 g cm⁻³. For the formation energy, the calculation gives 0.43 eV/atom. The calculation puts the raw total energy at -5.3900 eV per atom. Its calculated volume is 15.25 A^3/atom. The density of states at the Fermi level comes out at 12.82 states/eV/cell.

(16)
First-principles (PBE-GGA) data for a relaxed Li3MnGa crystal, as listed in Alexandria.

Lattice parameters (Å, degrees): 4.745 4.745 4.745 90.00 90.00 90.00
Space group Pm-3m (No. 221)
Unique sites:
Li  0.000  0.000  0.500 [3 per cell]
Mn  0.000  0.000  0.000 [1 per cell]
Ga  0.500  0.500  0.500 [1 per cell]

Results
The value obtained for the density is 2.26 g cm⁻³. For the formation energy, the calculation gives 0.71 eV/atom. The calculation puts the raw total energy at -2.8811 eV per atom. Its calculated volume is 21.36 A^3/atom. The density of states at the Fermi level comes out at 2.86 states/eV/cell.

(17)
First-principles (PBE-GGA) data for a relaxed Li3MnGa4 crystal, as listed in Alexandria.

Lattice parameters (Å, degrees): 4.254 4.254 13.044 90.00 90.00 90.00
Space group I4/mmm (No. 139)
Unique sites:
Li  0.000  0.000  0.000 [2 per cell]
Li  0.000  0.000  0.255 [4 per cell]
Mn  0.000  0.000  0.500 [2 per cell]
Ga  0.000  0.500  0.122 [8 per cell]

Results
The value obtained for the density is 4.99 g cm⁻³. For the formation energy, the calculation gives -0.23 eV/atom. The calculation puts the raw total energy at -3.6094 eV per atom. Its calculated volume is 14.75 A^3/atom. The density of states at the Fermi level comes out at 4.21 states/eV/cell.

(18)
First-principles (PBE-GGA) data for a relaxed LiMnGa crystal, as listed in Alexandria.

Lattice parameters (Å, degrees): 3.085 3.085 9.171 90.00 90.00 90.00
Space group I4mm (No. 107)
Unique sites:
Li  0.000  0.000  0.000 [2 per cell]
Mn  0.000  0.000  0.678 [2 per cell]
Ga  0.000  0.000  0.342 [2 per cell]

Results
The value obtained for the density is 5.01 g cm⁻³. For the formation energy, the calculation gives 0.04 eV/atom. The value obtained for the energy above the most stable polymorph in this dataset is 177.0 meV per atom. The calculation puts the raw total energy at -4.6649 eV per atom. Its calculated volume is 14.55 A^3/atom. The density of states at the Fermi level comes out at 3.39 states/eV/cell.

(19)
First-principles (PBE-GGA) data for a relaxed NaLi2MnGa crystal, as listed in Alexandria.

Lattice parameters (Å, degrees): 4.047 4.047 4.946 90.00 90.00 90.00
Space group P4/mmm (No. 123)
Unique sites:
Na  0.000  0.000  0.000 [1 per cell]
Li  0.000  0.500  0.000 [2 per cell]
Mn  0.500  0.500  0.500 [1 per cell]
Ga  0.000  0.000  0.500 [1 per cell]

Results
The value obtained for the density is 3.31 g cm⁻³. For the formation energy, the calculation gives 1.14 eV/atom. The calculation puts the raw total energy at -2.3266 eV per atom. Its calculated volume is 16.20 A^3/atom. The density of states at the Fermi level comes out at 5.29 states/eV/cell.